# 1
Compound: CoH
Source: the Alexandria database
Functional: GGA-PBE
Structure: relaxed

Summary:
V = 128.7 Å³ per cell
DOS(E_F) = 10.46 states/eV/cell
crystal system = tetragonal
energy = -81.61 eV/cell

The structure in extended XYZ format:
```
16
Lattice="7.1205 0.0000 0.0000 0.0000 7.1205 0.0000 0.0000 0.0000 2.5378" Properties=species:S:1:pos:R:3 pbc="T T T"
Co 5.8189 2.4904 1.2689
Co 1.3016 4.6301 1.2689
Co 4.6301 5.8189 1.2689
Co 2.4904 1.3016 1.2689
Co 6.3502 4.5462 0.0000
Co 0.7703 2.5743 0.0000
Co 2.5743 6.3502 0.0000
Co 4.5462 0.7703 0.0000
H 5.2001 4.1500 1.2689
H 1.9204 2.9705 1.2689
H 2.9705 5.2001 1.2689
H 4.1500 1.9204 1.2689
H 6.2526 1.4492 0.0000
H 0.8679 5.6713 0.0000
H 5.6713 6.2526 0.0000
H 1.4492 0.8679 0.0000
```


# 2
Compound: RbNaSn
Source: the Alexandria database
Functional: GGA-PBE
Structure: relaxed

Summary:
V = 557.2 Å³ per cell
calculated formation energy = -109.8 meV/atom
DOS(E_F) = 8.04 states/eV/cell
crystal system = orthorhombic
excess energy over the best structure of this formula in the dataset = 0.17 eV/f.u.

The structure in extended XYZ format:
```
12
Lattice="-0.8894 4.3852 -1.2249 -4.4377 0.7044 5.7444 12.6825 5.1332 9.1682" Properties=species:S:1:pos:R:3 pbc="T T T"
Rb 10.1224 7.9091 7.7873
Rb 2.9055 3.3595 5.5249
Rb 4.4498 6.8634 8.1628
Rb -2.7671 2.3138 5.9004
Sn 1.9859 4.1887 9.1615
Sn 5.3694 6.0341 4.5261
Sn -1.6743 1.4570 2.0394
Sn 9.0295 8.7659 11.6482
Na 7.8309 5.8443 10.8442
Na -0.3287 5.6884 7.4259
Na 7.6840 4.5345 6.2618
Na -0.4757 4.3786 2.8434
```


# 3
Compound: TbHf3
Source: the Alexandria database
Functional: GGA-PBE
Structure: relaxed

Summary:
V = 96.7 Å³ per cell
calculated formation energy = 113.4 meV/atom
DOS(E_F) = 3.71 states/eV/cell
crystal system = orthorhombic
excess energy over the best structure of this formula in the dataset = 0.07 eV/f.u.

The structure in extended XYZ format:
```
4
Lattice="-2.4689 -1.6807 1.3223 -0.9240 -2.5852 -5.0114 4.9845 -1.6420 3.1856" Properties=species:S:1:pos:R:3 pbc="T T T"
Tb -0.9230 -2.5824 -5.0059
Hf 1.3066 -2.7109 -1.0062
Hf -1.6998 -2.1422 -1.8625
Hf 0.5953 -2.3289 2.1856
```